# 1
Density functional theory data (PBE-GGA) for LiIr2Cl after structural relaxation.

abc: 4.2371 4.2371 7.6945
angles: 117.19 117.19 39.49
Sites, in units of the cell vectors:
Li: 0.0000 0.0000 0.0000
Ir: 0.4850 0.4850 0.4991
Ir: 0.6934 0.6934 0.3639
Cl: 0.2239 0.2239 0.8665

- D(E_F): 3.278 states/eV/cell
- Energy relative to the lowest polymorph listed for this composition: 0.147 eV/atom
- Uncorrected formation energy: 0.3 eV per formula unit
- Symmetry: Cm, No. 8

# 2
Density functional theory data (PBE-GGA) for LiIr2Cl after structural relaxation.

abc: 8.9791 8.9791 8.9791
angles: 17.78 17.78 17.78
Sites, in units of the cell vectors:
Li: 0.0000 0.0000 0.0000
Ir: 0.2498 0.2498 0.2498
Ir: 0.7502 0.7502 0.7502
Cl: 0.5000 0.5000 0.5000

- D(E_F): 4.490 states/eV/cell
- Energy relative to the lowest polymorph listed for this composition: 0.578 eV/atom
- Uncorrected formation energy: 2.0 eV per formula unit
- Symmetry: R-3m, No. 166

# 3
Density functional theory data (PBE-GGA) for LiIr2Cl after structural relaxation.

abc: 2.7134 2.7134 8.0719
angles: 90.00 90.00 90.00
Sites, in units of the cell vectors:
Li: 0.0000 0.0000 0.0000
Ir: 0.5000 0.5000 0.2434
Ir: 0.5000 0.5000 0.7566
Cl: 0.0000 0.0000 0.5000

- D(E_F): 4.974 states/eV/cell
- Energy relative to the lowest polymorph listed for this composition: 0.796 eV/atom
- Uncorrected formation energy: 2.9 eV per formula unit
- Symmetry: P4/mmm, No. 123

# 4
Density functional theory data (PBE-GGA) for Li4IrCl after structural relaxation.

abc: 4.9828 4.9828 4.9828
angles: 60.00 60.00 60.00
Sites, in units of the cell vectors:
Li: 0.3796 0.3796 0.3796
Li: 0.3796 0.3796 0.8611
Li: 0.3796 0.8611 0.3796
Li: 0.8611 0.3796 0.3796
Ir: 0.7500 0.7500 0.7500
Cl: 0.0000 0.0000 0.0000

- D(E_F): 0.041 states/eV/cell
- Uncorrected formation energy: 0.7 eV per formula unit
- Symmetry: F-43m, No. 216

# 5
Density functional theory data (PBE-GGA) for LiIr2Cl after structural relaxation.

abc: 3.4700 3.4700 7.7267
angles: 90.00 90.00 90.00
Sites, in units of the cell vectors:
Li: 0.0000 0.0000 0.0000
Ir: 0.0000 0.5000 0.5000
Ir: 0.5000 0.0000 0.5000
Cl: 0.5000 0.5000 0.0000

- D(E_F): 4.598 states/eV/cell
- Energy relative to the lowest polymorph listed for this composition: 0.262 eV/atom
- Uncorrected formation energy: 0.7 eV per formula unit
- Symmetry: P4/mmm, No. 123

# 6
Density functional theory data (PBE-GGA) for LiIr2Cl after structural relaxation.

abc: 2.8212 2.8212 8.8956
angles: 90.00 90.00 122.07
Sites, in units of the cell vectors:
Li: 0.0000 0.0000 0.0000
Ir: 0.5000 0.5000 0.2529
Ir: 0.5000 0.5000 0.7471
Cl: 0.0000 0.0000 0.5000

- D(E_F): 5.395 states/eV/cell
- Energy relative to the lowest polymorph listed for this composition: 0.603 eV/atom
- Uncorrected formation energy: 2.1 eV per formula unit
- Symmetry: Cmmm, No. 65

# 7
Density functional theory data (PBE-GGA) for LiIr2Cl after structural relaxation.

abc: 3.0277 3.0277 6.0383
angles: 90.00 90.00 90.00
Sites, in units of the cell vectors:
Li: 0.0000 0.0000 0.0000
Ir: 0.5000 0.5000 0.2209
Ir: 0.5000 0.5000 0.7791
Cl: 0.0000 0.0000 0.5000

- D(E_F): 3.056 states/eV/cell
- Energy relative to the lowest polymorph listed for this composition: 0.757 eV/atom
- Uncorrected formation energy: 2.7 eV per formula unit
- Symmetry: P4/mmm, No. 123

# 8
Density functional theory data (PBE-GGA) for LiIr2Cl after structural relaxation.

abc: 2.8782 2.8782 7.4731
angles: 90.00 90.00 90.00
Sites, in units of the cell vectors:
Li: 0.0000 0.0000 0.0000
Ir: 0.0000 0.0000 0.4865
Ir: 0.5000 0.5000 0.7057
Cl: 0.5000 0.5000 0.1799

- D(E_F): 3.405 states/eV/cell
- Energy relative to the lowest polymorph listed for this composition: 0.138 eV/atom
- Uncorrected formation energy: 0.2 eV per formula unit
- Symmetry: P4mm, No. 99

# 9
Density functional theory data (PBE-GGA) for LiIr2Cl after structural relaxation.

abc: 4.4234 4.4234 4.4234
angles: 119.87 119.87 90.23
Sites, in units of the cell vectors:
Li: 0.0000 0.0000 0.0000
Ir: 0.2500 0.7500 0.5000
Ir: 0.5000 0.5000 0.0000
Cl: 0.7500 0.2500 0.5000

- D(E_F): 5.988 states/eV/cell
- Energy relative to the lowest polymorph listed for this composition: 0.677 eV/atom
- Uncorrected formation energy: 2.4 eV per formula unit
- Symmetry: I-4m2, No. 119

# 10
Density functional theory data (PBE-GGA) for LiIr2Cl after structural relaxation.

abc: 2.7616 4.2098 7.1575
angles: 90.00 90.00 90.00
Sites, in units of the cell vectors:
Li: 0.0000 0.0000 0.0000
Ir: 0.0000 0.5000 0.5000
Ir: 0.5000 0.0000 0.5000
Cl: 0.5000 0.5000 0.0000

- D(E_F): 4.139 states/eV/cell
- Energy relative to the lowest polymorph listed for this composition: 0.280 eV/atom
- Uncorrected formation energy: 0.8 eV per formula unit
- Symmetry: Pmmm, No. 47

# 11
Density functional theory data (PBE-GGA) for LiMo2IrCl after structural relaxation.

abc: 4.4372 4.4372 3.9676
angles: 90.00 90.00 90.00
Sites, in units of the cell vectors:
Li: 0.0000 0.0000 0.0000
Mo: 0.0000 0.5000 0.5000
Mo: 0.5000 0.0000 0.5000
Ir: 0.5000 0.5000 0.0000
Cl: 0.0000 0.0000 0.5000

- D(E_F): 6.005 states/eV/cell
- Uncorrected formation energy: 4.0 eV per formula unit
- Symmetry: P4/mmm, No. 123

# 12
Density functional theory data (PBE-GGA) for NaLiIrCl6 after structural relaxation.

abc: 6.3946 6.3946 12.1338
angles: 90.00 90.00 120.00
Sites, in units of the cell vectors:
Na: 0.0000 0.0000 0.0000
Na: 0.0000 0.0000 0.5000
Li: 0.3333 0.6667 0.2500
Li: 0.6667 0.3333 0.7500
Ir: 0.3333 0.6667 0.7500
Ir: 0.6667 0.3333 0.2500
Cl: 0.0253 0.3746 0.6391
Cl: 0.0253 0.6507 0.8609
Cl: 0.3493 0.3746 0.8609
Cl: 0.3493 0.9747 0.6391
Cl: 0.3746 0.0253 0.1391
Cl: 0.3746 0.3493 0.3609
Cl: 0.6254 0.6507 0.6391
Cl: 0.6254 0.9747 0.8609
Cl: 0.6507 0.0253 0.3609
Cl: 0.6507 0.6254 0.1391
Cl: 0.9747 0.3493 0.1391
Cl: 0.9747 0.6254 0.3609

- D(E_F): 15.440 states/eV/cell
- Uncorrected formation energy: -9.3 eV per formula unit
- Symmetry: P-31c, No. 163

| no. | E_tot (eV per cell) |
| --- | --- |
| 1 | -21.21 |
| 2 | -19.48 |
| 3 | -18.61 |
| 4 | -17.69 |
| 5 | -20.74 |
| 6 | -19.38 |
| 7 | -18.76 |
| 8 | -21.24 |
| 9 | -19.09 |
| 10 | -20.67 |
| 11 | -30.24 |
| 12 | -64.95 |